# LiMnF3

Crystalline LiMnF3 at its relaxed geometry (GGA+U, Alexandria).

```
LiMnF3
1.0
6.215 0.000 0.000
0.000 6.215 0.000
0.000 0.000 6.215
Li Mn F
4 4 12
direct
0.124 0.124 0.124
0.376 0.876 0.624
0.624 0.376 0.876
0.876 0.624 0.376
0.164 0.336 0.664
0.336 0.664 0.164
0.664 0.164 0.336
0.836 0.836 0.836
0.008 0.767 0.127
0.127 0.008 0.767
0.233 0.627 0.492
0.267 0.373 0.992
0.373 0.992 0.267
0.492 0.233 0.627
0.508 0.733 0.873
0.627 0.492 0.233
0.733 0.873 0.508
0.767 0.127 0.008
0.873 0.508 0.733
0.992 0.267 0.373
```

SG ... P2_13, No. 198
Mass density ... 3.3 g/cm³
V ... 12.00 Å³/atom
VASP energy ... -5.76 eV/atom